[1]
Material: TaNb2HOs
Method: DFT, GGA-PBE
State: optimized geometry

Computed properties:
* excess energy over the best structure of this formula in the dataset: 0 meV per atom

Geometry as CIF:
```
data_TaNb2HOs
_symmetry_space_group_name_H-M 'P 4/m m m'
_symmetry_Int_Tables_number 123
_symmetry_space_group_name_Hall '-P 4 2'
_cell_length_a 4.4898
_cell_length_b 4.4898
_cell_length_c 3.5461
_cell_angle_alpha 90.00
_cell_angle_beta 90.00
_cell_angle_gamma 90.00
loop_
_atom_site_label
_atom_site_fract_x
_atom_site_fract_y
_atom_site_fract_z
Ta1 0.0000 0.0000 0.0000
Nb1 0.0000 0.5000 0.5000
H1 0.5000 0.5000 0.5000
Os1 0.5000 0.5000 0.0000
```

[2]
Material: Ac2Pm5Ho5
Method: DFT, GGA-PBE
State: optimized geometry

Computed properties:
* ΔE_f: 0.0392 eV per atom

Geometry as CIF:
```
data_Ac2Pm5Ho5
_symmetry_space_group_name_H-M 'C 1 2/m 1'
_symmetry_Int_Tables_number 12
_cell_length_a 15.5632
_cell_length_b 5.1406
_cell_length_c 11.5911
_cell_angle_alpha 90.00
_cell_angle_beta 116.72
_cell_angle_gamma 90.00
loop_
_symmetry_equiv_pos_as_xyz
'x,y,z'
'-x,-y,-z'
'-x,y,-z'
'x,-y,z'
'x+1/2,y+1/2,z'
'-x+1/2,-y+1/2,-z'
'-x+1/2,y+1/2,-z'
'x+1/2,-y+1/2,z'
loop_
_atom_site_label
_atom_site_fract_x
_atom_site_fract_y
_atom_site_fract_z
Ac1 0.0827 0.0000 0.2509
Pm1 0.0000 0.0000 0.5000
Pm2 0.1681 0.0000 0.0004
Pm3 0.2451 0.0000 0.7471
Ho1 0.0000 0.5000 0.0000
Ho2 0.0860 0.5000 0.7497
Ho3 0.1661 0.5000 0.5027
```

[3]
Material: K3Sm2NpTe6
Method: DFT, GGA-PBE
State: optimized geometry

Computed properties:
* formation energy from raw total energies: -1.234 eV per atom

Geometry as CIF:
```
data_K3Sm2NpTe6
_symmetry_space_group_name_H-M 'C 1 2/m 1'
_symmetry_Int_Tables_number 12
_cell_length_a 7.9384
_cell_length_b 13.7093
_cell_length_c 8.6514
_cell_angle_alpha 90.00
_cell_angle_beta 107.68
_cell_angle_gamma 90.00
loop_
_symmetry_equiv_pos_as_xyz
'x,y,z'
'-x,-y,-z'
'-x,y,-z'
'x,-y,z'
'x+1/2,y+1/2,z'
'-x+1/2,-y+1/2,-z'
'-x+1/2,y+1/2,-z'
'x+1/2,-y+1/2,z'
loop_
_atom_site_label
_atom_site_fract_x
_atom_site_fract_y
_atom_site_fract_z
K1 0.0000 0.0000 0.0000
K2 0.0000 0.3327 0.0000
Sm1 0.0000 0.1660 0.5000
Np1 0.0000 0.5000 0.5000
Te1 0.2375 0.3337 0.7119
Te2 0.2376 0.0000 0.7124
```

[4]
Material: LaCeTh
Method: DFT, GGA-PBE
State: optimized geometry

Computed properties:
* excess energy over the best structure of this formula in the dataset: 39 meV per atom
* ΔE_f: 0.0608 eV per atom

Geometry as CIF:
```
data_LaCeTh
_symmetry_space_group_name_H-M 'I 4 m m'
_symmetry_Int_Tables_number 107
_symmetry_space_group_name_Hall 'I 4 -2'
_cell_length_a 3.5396
_cell_length_b 3.5396
_cell_length_c 15.2428
_cell_angle_alpha 90.00
_cell_angle_beta 90.00
_cell_angle_gamma 90.00
loop_
_atom_site_label
_atom_site_fract_x
_atom_site_fract_y
_atom_site_fract_z
La1 0.0000 0.0000 0.0000
Ce1 0.0000 0.0000 0.3243
Th1 0.0000 0.0000 0.6694
```

[5]
Material: Rb4InAu2
Method: DFT, GGA-PBE
State: optimized geometry

Computed properties:
* ΔE_f: -0.1113 eV per atom

Geometry as CIF:
```
data_Rb4InAu2
_symmetry_space_group_name_H-M 'C m c m'
_symmetry_Int_Tables_number 63
_symmetry_space_group_name_Hall '-C 2c 2'
_cell_length_a 10.1912
_cell_length_b 15.2245
_cell_length_c 8.1954
_cell_angle_alpha 90.00
_cell_angle_beta 90.00
_cell_angle_gamma 90.00
loop_
_atom_site_label
_atom_site_fract_x
_atom_site_fract_y
_atom_site_fract_z
Rb1 0.1775 0.2281 0.2500
Rb2 0.2228 0.5000 0.0000
In1 0.0000 0.1561 0.7500
Au1 0.0000 0.0263 0.2500
Au2 0.0000 0.3448 0.7500
```

[6]
Material: CdSi2W
Method: DFT, GGA-PBE
State: optimized geometry

Computed properties:
* formation energy from raw total energies: 0.298 eV per atom

Geometry as CIF:
```
data_CdSi2W
_symmetry_space_group_name_H-M 'C 1 m 1'
_symmetry_Int_Tables_number 8
_cell_length_a 13.7584
_cell_length_b 2.6841
_cell_length_c 4.3187
_cell_angle_alpha 90.00
_cell_angle_beta 108.19
_cell_angle_gamma 90.00
loop_
_symmetry_equiv_pos_as_xyz
'x,y,z'
'x,-y,z'
'x+1/2,y+1/2,z'
'x+1/2,-y+1/2,z'
loop_
_atom_site_label
_atom_site_fract_x
_atom_site_fract_y
_atom_site_fract_z
Cd1 0.0000 0.0000 0.0000
Si1 0.1166 0.5000 0.6160
Si2 0.3050 0.5000 0.3037
W1 0.2892 0.0000 0.7879
```

[7]
Material: RbMnSbS3
Method: DFT, GGA-PBE
State: optimized geometry

Computed properties:
* formation energy from raw total energies: -0.644 eV per atom

Geometry as CIF:
```
data_RbMnSbS3
_symmetry_space_group_name_H-M 'P 1 21/m 1'
_symmetry_Int_Tables_number 11
_cell_length_a 9.3809
_cell_length_b 4.0692
_cell_length_c 9.7349
_cell_angle_alpha 90.00
_cell_angle_beta 103.89
_cell_angle_gamma 90.00
loop_
_symmetry_equiv_pos_as_xyz
'x,y,z'
'-x,-y,-z'
'-x,y+1/2,-z'
'x,-y+1/2,z'
loop_
_atom_site_label
_atom_site_fract_x
_atom_site_fract_y
_atom_site_fract_z
Rb1 0.1753 0.2500 0.2175
Mn1 0.0997 0.2500 0.6026
Sb1 0.3532 0.7500 0.8619
S1 0.1560 0.2500 0.8571
S2 0.1696 0.7500 0.4978
S3 0.4268 0.7500 0.1236
```

[8]
Material: Fe2NiAg
Method: DFT, GGA-PBE
State: optimized geometry

Computed properties:
* excess energy over the best structure of this formula in the dataset: 396 meV per atom
* ΔE_f: 0.5815 eV per atom

Geometry as CIF:
```
data_Fe2NiAg
_symmetry_space_group_name_H-M 'I -4 2 d'
_symmetry_Int_Tables_number 122
_symmetry_space_group_name_Hall 'I -4 2bw'
_cell_length_a 6.7750
_cell_length_b 6.7750
_cell_length_c 5.0691
_cell_angle_alpha 90.00
_cell_angle_beta 90.00
_cell_angle_gamma 90.00
loop_
_atom_site_label
_atom_site_fract_x
_atom_site_fract_y
_atom_site_fract_z
Fe1 0.2137 0.2500 0.1250
Ni1 0.0000 0.0000 0.0000
Ag1 0.0000 0.0000 0.5000
```

[9]
Material: NpPaMnS6
Method: DFT, GGA-PBE
State: optimized geometry

Computed properties:
* formation energy from raw total energies: -1.044 eV per atom

Geometry as CIF:
```
data_NpPaMnS6
_symmetry_space_group_name_H-M 'P 3 1 2'
_symmetry_Int_Tables_number 149
_cell_length_a 6.3748
_cell_length_b 6.3748
_cell_length_c 6.0035
_cell_angle_alpha 90.00
_cell_angle_beta 90.00
_cell_angle_gamma 120.00
loop_
_symmetry_equiv_pos_as_xyz
'x,y,z'
'-y,x-y,z'
'-x+y,-x,z'
'-y,-x,-z'
'-x+y,y,-z'
'x,x-y,-z'
loop_
_atom_site_label
_atom_site_fract_x
_atom_site_fract_y
_atom_site_fract_z
Np1 0.0000 0.0000 0.0000
Pa1 0.6667 0.3333 0.5000
Mn1 0.3333 0.6667 0.0000
S1 0.0154 0.3492 0.2436
```

[10]
Material: CaHgPt2
Method: DFT, GGA-PBE
State: optimized geometry

Computed properties:
* ΔE_f: -0.3260 eV per atom

Geometry as CIF:
```
data_CaHgPt2
_symmetry_space_group_name_H-M 'P 4 m m'
_symmetry_Int_Tables_number 99
_cell_length_a 3.7085
_cell_length_b 3.7085
_cell_length_c 5.7809
_cell_angle_alpha 90.00
_cell_angle_beta 90.00
_cell_angle_gamma 90.00
loop_
_symmetry_equiv_pos_as_xyz
'x,y,z'
'-y,x,z'
'-x,-y,z'
'y,-x,z'
'-x,y,z'
'y,x,z'
'x,-y,z'
'-y,-x,z'
loop_
_atom_site_label
_atom_site_fract_x
_atom_site_fract_y
_atom_site_fract_z
Ca1 0.0000 0.0000 0.0000
Hg1 0.5000 0.5000 0.2917
Pt1 0.0000 0.0000 0.5166
Pt2 0.5000 0.5000 0.7704
```

[11]
Material: TmNp4Sb5
Method: DFT, GGA-PBE
State: optimized geometry

Computed properties:
* formation energy from raw total energies: -0.340 eV per atom

Geometry as CIF:
```
data_TmNp4Sb5
_symmetry_space_group_name_H-M 'I m m m'
_symmetry_Int_Tables_number 71
_symmetry_space_group_name_Hall '-I 2 2'
_cell_length_a 4.3373
_cell_length_b 6.2004
_cell_length_c 22.1299
_cell_angle_alpha 90.00
_cell_angle_beta 90.00
_cell_angle_gamma 90.00
loop_
_atom_site_label
_atom_site_fract_x
_atom_site_fract_y
_atom_site_fract_z
Tm1 0.0000 0.0000 0.0000
Np1 0.0000 0.0000 0.1995
Np2 0.0000 0.0000 0.4012
Sb1 0.0000 0.5000 0.0000
Sb2 0.0000 0.5000 0.1997
Sb3 0.0000 0.5000 0.4013
```

[12]
Material: La2ErGa3Pt4
Method: DFT, GGA-PBE
State: optimized geometry

Computed properties:
* ΔE_f: -1.0220 eV per atom

Geometry as CIF:
```
data_La2ErGa3Pt4
_symmetry_space_group_name_H-M 'P -4 m 2'
_symmetry_Int_Tables_number 115
_cell_length_a 4.3232
_cell_length_b 4.3232
_cell_length_c 11.3030
_cell_angle_alpha 90.00
_cell_angle_beta 90.00
_cell_angle_gamma 90.00
loop_
_symmetry_equiv_pos_as_xyz
'x,y,z'
'y,-x,-z'
'-x,-y,z'
'-y,x,-z'
'-x,y,z'
'-y,-x,-z'
'x,-y,z'
'y,x,-z'
loop_
_atom_site_label
_atom_site_fract_x
_atom_site_fract_y
_atom_site_fract_z
La1 0.0000 0.5000 0.2304
Er1 0.0000 0.0000 0.5000
Ga1 0.0000 0.5000 0.8790
Ga2 0.5000 0.5000 0.5000
Pt1 0.0000 0.0000 0.0000
Pt2 0.0000 0.5000 0.6550
Pt3 0.5000 0.5000 0.0000
```

Number 1: total magnetic moment 0.00 Bohr magnetons per cell. Number 2: total magnetic moment 0.00 Bohr magnetons per cell. Number 3: total magnetic moment 8.00 Bohr magnetons per cell. Number 4: total magnetic moment 1.12 Bohr magnetons per cell. Number 5: total magnetic moment 0.00 Bohr magnetons per cell. Number 6: total magnetic moment 0.00 Bohr magnetons per cell. Number 7: total magnetic moment 10.01 Bohr magnetons per cell. Number 8: total magnetic moment 26.62 Bohr magnetons per cell. Number 9: total magnetic moment 7.00 Bohr magnetons per cell. Number 10: total magnetic moment 0.00 Bohr magnetons per cell. Number 11: total magnetic moment 0.13 Bohr magnetons per cell. Number 12: total magnetic moment 0.00 Bohr magnetons per cell.